1.
# LiMn3Ni, optimized geometry, DFT PBE-GGA
# Calculated formation energy (eV/atom): 0.707
# Crystal system: cubic
# Size of the total moment (μB per atom): 2.599
# E (eV/cell): -31.7
data_LiMn3Ni
_chemical_formula_sum 'Li1 Mn3 Ni1'
_symmetry_space_group_name_H-M 'P m -3 m'
_symmetry_Int_Tables_number 221
_symmetry_space_group_name_Hall '-P 4 2 3'
_cell_length_a 4.602
_cell_length_b 4.602
_cell_length_c 4.602
_cell_angle_alpha 90.00
_cell_angle_beta 90.00
_cell_angle_gamma 90.00
loop_
_atom_site_label
_atom_site_fract_x
_atom_site_fract_y
_atom_site_fract_z
Li1 0.000 0.000 0.000
Mn1 0.000 0.500 0.500
Ni1 0.500 0.500 0.500

2.
# RbCaBeSiPdSe, optimized geometry, DFT PBE-GGA
# Crystal system: triclinic
# Formation energy (no corrections) (eV/atom): -0.500
# Size of the total moment (μB per atom): 0.000
# E (eV/cell): -23.8
data_RbCaBeSiPdSe
_chemical_formula_sum 'Rb1 Ca1 Be1 Si1 Pd1 Se1'
_symmetry_space_group_name_H-M 'P 1'
_symmetry_Int_Tables_number 1
_cell_length_a 4.111
_cell_length_b 5.919
_cell_length_c 7.076
_cell_angle_alpha 109.00
_cell_angle_beta 90.00
_cell_angle_gamma 110.08
loop_
_symmetry_equiv_pos_as_xyz
'x,y,z'
loop_
_atom_site_label
_atom_site_fract_x
_atom_site_fract_y
_atom_site_fract_z
Rb1 0.000 0.000 0.000
Ca1 0.393 0.798 0.452
Be1 0.679 0.374 0.444
Si1 0.150 0.307 0.578
Pd1 0.672 0.350 0.759
Se1 0.750 0.506 0.183

3.
# Ba2MgAl, optimized geometry, DFT PBE-GGA
# Calculated formation energy (eV/atom): -0.117
# Crystal system: orthorhombic
# Size of the total moment (μB per atom): 0.000
# E (eV/cell): -38.6
data_Ba2MgAl
_chemical_formula_sum 'Ba8 Mg4 Al4'
_symmetry_space_group_name_H-M 'C m c m'
_symmetry_Int_Tables_number 63
_symmetry_space_group_name_Hall '-C 2c 2'
_cell_length_a 10.789
_cell_length_b 8.742
_cell_length_c 6.249
_cell_angle_alpha 90.00
_cell_angle_beta 90.00
_cell_angle_gamma 90.00
loop_
_atom_site_label
_atom_site_fract_x
_atom_site_fract_y
_atom_site_fract_z
Ba1 0.173 0.141 0.250
Mg1 0.000 0.500 0.000
Al1 0.000 0.218 0.750

4.
# Ca2AsH, optimized geometry, DFT PBE-GGA
# Crystal system: trigonal
# Size of the total moment (μB per atom): 0.000
# E (eV/cell): -44.2
data_Ca2AsH
_chemical_formula_sum 'Ca6 As3 H3'
_symmetry_space_group_name_H-M 'R 3 m'
_symmetry_Int_Tables_number 160
_symmetry_space_group_name_Hall 'R 3 -2"'
_cell_length_a 4.1517
_cell_length_b 4.1517
_cell_length_c 20.6510
_cell_angle_alpha 90.00
_cell_angle_beta 90.00
_cell_angle_gamma 120.00
loop_
_atom_site_label
_atom_site_fract_x
_atom_site_fract_y
_atom_site_fract_z
Ca1 0.0000 0.0000 0.0000
Ca2 0.0000 0.0000 0.1841
As1 0.0000 0.0000 0.5906
H1 0.0000 0.0000 0.4119

5.
# CdFeW, optimized geometry, DFT PBE-GGA
# Calculated formation energy (eV/atom): 1.321
# Crystal system: cubic
# Size of the total moment (μB per atom): 0.531
# E (eV/cell): -73.5
data_CdFeW
_chemical_formula_sum 'Cd4 Fe4 W4'
_symmetry_space_group_name_H-M 'F -4 3 m'
_symmetry_Int_Tables_number 216
_symmetry_space_group_name_Hall 'F -4 2 3'
_cell_length_a 6.131
_cell_length_b 6.131
_cell_length_c 6.131
_cell_angle_alpha 90.00
_cell_angle_beta 90.00
_cell_angle_gamma 90.00
loop_
_atom_site_label
_atom_site_fract_x
_atom_site_fract_y
_atom_site_fract_z
Cd1 0.000 0.000 0.000
Fe1 0.000 0.000 0.500
W1 0.250 0.250 0.250

6.
# SrZnRe2, optimized geometry, DFT PBE-GGA
# Calculated formation energy (eV/atom): 0.755
# Crystal system: monoclinic
# Size of the total moment (μB per atom): 0.000
# E (eV/cell): -49.7
data_SrZnRe2
_chemical_formula_sum 'Sr2 Zn2 Re4'
_symmetry_space_group_name_H-M 'C 1 2/m 1'
_symmetry_Int_Tables_number 12
_cell_length_a 10.859
_cell_length_b 2.829
_cell_length_c 4.999
_cell_angle_alpha 90.00
_cell_angle_beta 106.47
_cell_angle_gamma 90.00
loop_
_symmetry_equiv_pos_as_xyz
'x,y,z'
'-x,-y,-z'
'-x,y,-z'
'x,-y,z'
'x+1/2,y+1/2,z'
'-x+1/2,-y+1/2,-z'
'-x+1/2,y+1/2,-z'
'x+1/2,-y+1/2,z'
loop_
_atom_site_label
_atom_site_fract_x
_atom_site_fract_y
_atom_site_fract_z
Sr1 0.000 0.000 0.000
Zn1 0.000 0.500 0.500
Re1 0.219 0.000 0.697

7.
# Rb2NiAsBr6, optimized geometry, DFT PBE-GGA
# Crystal system: cubic
# Formation energy (no corrections) (eV/atom): -0.856
# Size of the total moment (μB per atom): 0.100
# E (eV/cell): -123.8
data_Rb2NiAsBr6
_chemical_formula_sum 'Rb8 Ni4 As4 Br24'
_symmetry_space_group_name_H-M 'F m -3 m'
_symmetry_Int_Tables_number 225
_symmetry_space_group_name_Hall '-F 4 2 3'
_cell_length_a 10.619
_cell_length_b 10.619
_cell_length_c 10.619
_cell_angle_alpha 90.00
_cell_angle_beta 90.00
_cell_angle_gamma 90.00
loop_
_atom_site_label
_atom_site_fract_x
_atom_site_fract_y
_atom_site_fract_z
Rb1 0.250 0.250 0.250
Ni1 0.000 0.000 0.000
As1 0.000 0.000 0.500
Br1 0.000 0.000 0.244

8.
# TbHoCu, optimized geometry, DFT PBE-GGA
# Calculated formation energy (eV/atom): -0.130
# Crystal system: tetragonal
# Size of the total moment (μB per atom): 0.001
# E (eV/cell): -27.4
data_TbHoCu
_chemical_formula_sum 'Tb2 Ho2 Cu2'
_symmetry_space_group_name_H-M 'I 4 m m'
_symmetry_Int_Tables_number 107
_symmetry_space_group_name_Hall 'I 4 -2'
_cell_length_a 3.470
_cell_length_b 3.470
_cell_length_c 12.325
_cell_angle_alpha 90.00
_cell_angle_beta 90.00
_cell_angle_gamma 90.00
loop_
_atom_site_label
_atom_site_fract_x
_atom_site_fract_y
_atom_site_fract_z
Tb1 0.000 0.000 0.000
Ho1 0.000 0.000 0.279
Cu1 0.000 0.000 0.643

- Look up the E of the first one.
  -31.7 eV/cell